This record from Alexandria via LeMat-Bulk describes a geometry-optimized Al2CuW structure. The functional is PBE-GGA.

The structure in POSCAR format:
```
Al2CuW
1.0
2.740 0.050 0.000
-0.798 2.622 0.000
0.000 0.000 8.115
Al Cu W
2 1 1
direct
0.000 0.000 0.489
0.000 0.000 0.011
0.500 0.500 0.250
0.500 0.500 0.750
```

## Properties
ΔH_f (0 K) = -0.01 eV per atom
crystal system = orthorhombic
offset from the most stable computed form = 76.5 meV per atom
electronic total energy = -24.585 eV per cell
calculated volume = 14.66 A^3/atom